#w
Below is a geometry-optimized ZnTeNF2 structure, with properties calculated at the PBE level.

## Properties
theoretical density: 4.78 g/cm³
N(E_F): 3.0 states/eV per cell
total magnetic moment: 0.000 μB per formula unit

Cell and atoms, written as CIF:
```
data_ZnTeNF2
_chemical_formula_sum 'Zn1 Te1 N1 F2'
_space_group_name_H-M_alt 'P 4/m m m'
_space_group_IT_number 123
_space_group_name_Hall '-P 4 2'
_cell_length_a 4.5433
_cell_length_b 4.5433
_cell_length_c 4.1218
_cell_angle_alpha 90.00
_cell_angle_beta 90.00
_cell_angle_gamma 90.00
loop_
_atom_site_label
_atom_site_fract_x
_atom_site_fract_y
_atom_site_fract_z
Zn1 0.0000 0.0000 0.0000
Te1 0.5000 0.5000 0.5000
N1 0.5000 0.5000 0.0000
F1 0.0000 0.5000 0.5000
```

#x
Below is a geometry-optimized ZnTeNF2 structure, with properties calculated at the PBE level.

## Properties
theoretical density: 5.03 g/cm³
N(E_F): 1.4 states/eV per cell
total magnetic moment: 0.000 μB per formula unit

Cell and atoms, written as CIF:
```
data_ZnTeNF2
_chemical_formula_sum 'Zn1 Te1 N1 F2'
_space_group_name_H-M_alt 'P 4/m m m'
_space_group_IT_number 123
_space_group_name_Hall '-P 4 2'
_cell_length_a 3.6732
_cell_length_b 3.6732
_cell_length_c 5.9992
_cell_angle_alpha 90.00
_cell_angle_beta 90.00
_cell_angle_gamma 90.00
loop_
_atom_site_label
_atom_site_fract_x
_atom_site_fract_y
_atom_site_fract_z
Zn1 0.0000 0.0000 0.0000
Te1 0.5000 0.5000 0.5000
N1 0.0000 0.0000 0.5000
F1 0.0000 0.5000 0.0000
```

Which of them is the most stable? Correct choice: #x.

#w
Below is a geometry-optimized ZrTeNF2 structure, with properties calculated at the PBE level.

## Properties
theoretical density: 5.11 g/cm³
N(E_F): 6.4 states/eV per cell
total magnetic moment: 2.125 μB per formula unit

Cell and atoms, written as CIF:
```
data_ZrTeNF2
_chemical_formula_sum 'Zr1 Te1 N1 F2'
_space_group_name_H-M_alt 'P 4/m m m'
_space_group_IT_number 123
_space_group_name_Hall '-P 4 2'
_cell_length_a 4.5701
_cell_length_b 4.5701
_cell_length_c 4.2167
_cell_angle_alpha 90.00
_cell_angle_beta 90.00
_cell_angle_gamma 90.00
loop_
_atom_site_label
_atom_site_fract_x
_atom_site_fract_y
_atom_site_fract_z
Zr1 0.0000 0.0000 0.0000
Te1 0.5000 0.5000 0.5000
N1 0.5000 0.5000 0.0000
F1 0.0000 0.5000 0.5000
```

#x
Below is a geometry-optimized ZrTeNF2 structure, with properties calculated at the PBE level.

## Properties
theoretical density: 5.65 g/cm³
N(E_F): 3.0 states/eV per cell
total magnetic moment: 0.000 μB per formula unit

Cell and atoms, written as CIF:
```
data_ZrTeNF2
_chemical_formula_sum 'Zr1 Te1 N1 F2'
_space_group_name_H-M_alt 'P 4/m m m'
_space_group_IT_number 123
_space_group_name_Hall '-P 4 2'
_cell_length_a 4.2002
_cell_length_b 4.2002
_cell_length_c 4.5157
_cell_angle_alpha 90.00
_cell_angle_beta 90.00
_cell_angle_gamma 90.00
loop_
_atom_site_label
_atom_site_fract_x
_atom_site_fract_y
_atom_site_fract_z
Zr1 0.0000 0.0000 0.0000
Te1 0.5000 0.5000 0.5000
N1 0.0000 0.0000 0.5000
F1 0.0000 0.5000 0.0000
```

Which of them is the most stable? Correct choice: #x.

#w
Below is a geometry-optimized Ti2NF structure, with properties calculated at the PBE level.

## Properties
theoretical density: 3.92 g/cm³
N(E_F): 11.7 states/eV per cell
total magnetic moment: 0.000 μB per formula unit

Cell and atoms, written as CIF:
```
data_Ti2NF
_chemical_formula_sum 'Ti8 N4 F4'
_space_group_name_H-M_alt 'I -4 2 d'
_space_group_IT_number 122
_space_group_name_Hall 'I -4 2bw'
_cell_length_a 4.8267
_cell_length_b 4.8267
_cell_length_c 9.3667
_cell_angle_alpha 90.00
_cell_angle_beta 90.00
_cell_angle_gamma 90.00
loop_
_atom_site_label
_atom_site_fract_x
_atom_site_fract_y
_atom_site_fract_z
Ti1 0.2045 0.2500 0.1250
N1 0.0000 0.0000 0.0000
F1 0.0000 0.0000 0.5000
```

#x
Below is a geometry-optimized Ti2NF structure, with properties calculated at the PBE level.

## Properties
theoretical density: 5.43 g/cm³
N(E_F): 4.5 states/eV per cell
total magnetic moment: 0.000 μB per formula unit

Cell and atoms, written as CIF:
```
data_Ti2NF
_chemical_formula_sum 'Ti8 N4 F4'
_space_group_name_H-M_alt 'F m -3 m'
_space_group_IT_number 225
_space_group_name_Hall '-F 4 2 3'
_cell_length_a 5.3995
_cell_length_b 5.3995
_cell_length_c 5.3995
_cell_angle_alpha 90.00
_cell_angle_beta 90.00
_cell_angle_gamma 90.00
loop_
_atom_site_label
_atom_site_fract_x
_atom_site_fract_y
_atom_site_fract_z
Ti1 0.2500 0.2500 0.2500
N1 0.0000 0.0000 0.0000
F1 0.0000 0.0000 0.5000
```

Which of them is the most stable? Correct choice: #w.